# La3MgOs | the Alexandria database | PBE | optimized geometry
data_La3MgOs
_symmetry_space_group_name_H-M 'P 1 21/m 1'
_symmetry_Int_Tables_number 11
_symmetry_space_group_name_Hall '-P 2yb'
_cell_length_a 5.145
_cell_length_b 8.744
_cell_length_c 6.402
_cell_angle_alpha 90.00
_cell_angle_beta 90.44
_cell_angle_gamma 90.00
loop_
_atom_site_label
_atom_site_type_symbol
_atom_site_fract_x
_atom_site_fract_y
_atom_site_fract_z
La1 La 0.249 0.033 0.195
La2 La 0.249 0.750 0.573
Mg1 Mg 0.254 0.250 0.756
Os1 Os 0.242 0.750 0.020
# Calculated formation energy in eV/atom: -0.0895
# Total energy in eV/atom: -5.611

# La3MgOs | the Alexandria database | PBE | optimized geometry
data_La3MgOs
_symmetry_space_group_name_H-M 'P 1'
_symmetry_Int_Tables_number 1
_symmetry_space_group_name_Hall 'P 1'
_cell_length_a 6.546
_cell_length_b 6.925
_cell_length_c 7.009
_cell_angle_alpha 95.96
_cell_angle_beta 104.42
_cell_angle_gamma 98.09
loop_
_atom_site_label
_atom_site_type_symbol
_atom_site_fract_x
_atom_site_fract_y
_atom_site_fract_z
La1 La 0.000 0.000 0.000
La2 La 0.011 0.545 0.419
La3 La 0.140 0.071 0.521
La4 La 0.489 0.760 0.193
La5 La 0.545 0.241 0.037
La6 La 0.579 0.649 0.673
Mg1 Mg 0.062 0.477 0.917
Mg2 Mg 0.658 0.181 0.551
Os1 Os 0.274 0.832 0.814
Os2 Os 0.321 0.361 0.297
# Calculated formation energy in eV/atom: -0.1161
# Total energy in eV/atom: -5.637

# La3MgOs | the Alexandria database | PBE | optimized geometry
data_La3MgOs
_symmetry_space_group_name_H-M 'R -3 c'
_symmetry_Int_Tables_number 167
_symmetry_space_group_name_Hall '-R 3 2"c'
_cell_length_a 7.9766
_cell_length_b 7.9766
_cell_length_c 19.1935
_cell_angle_alpha 90.00
_cell_angle_beta 90.00
_cell_angle_gamma 120.00
loop_
_atom_site_label
_atom_site_type_symbol
_atom_site_fract_x
_atom_site_fract_y
_atom_site_fract_z
La1 La 0.0000 0.4576 0.2500
Mg1 Mg 0.0000 0.0000 0.2500
Os1 Os 0.0000 0.0000 0.0000
# Calculated formation energy in eV/atom: -0.0596
# Total energy in eV/atom: -5.581